1.
Entry from Alexandria via LeMat-Bulk: crystalline LiLa2Zn2 at its relaxed geometry (PBE).

Energy relative to the elements, eV/atom: -0.06
Total moment, μB per atom: 0.099
ΔE to the lowest computed polymorph, meV/atom: 154
Space group: P4/mbm

Unit cell a=9.0345 b=9.0345 c=3.2837 alpha=90.00 beta=90.00 gamma=90.00
Element x y z (fractional)
Li 0.0000 0.0000 0.0000
Li 0.5000 0.5000 0.0000
La 0.1726 0.3274 0.0000
La 0.3274 0.8274 0.0000
La 0.6726 0.1726 0.0000
La 0.8274 0.6726 0.0000
Zn 0.1197 0.6197 0.5000
Zn 0.3803 0.1197 0.5000
Zn 0.6197 0.8803 0.5000
Zn 0.8803 0.3803 0.5000


2.
Entry from Alexandria via LeMat-Bulk: crystalline LiLaZn at its relaxed geometry (PBE).

Energy relative to the elements, eV/atom: -0.15
Total moment, μB per atom: 0.000
ΔE to the lowest computed polymorph, meV/atom: 17
Space group: P-6m2

Unit cell a=4.8913 b=4.8913 c=3.3903 alpha=90.00 beta=90.00 gamma=120.00
Element x y z (fractional)
Li 0.0000 0.0000 0.0000
La 0.3333 0.6667 0.5000
Zn 0.6667 0.3333 0.0000


3.
Entry from Alexandria via LeMat-Bulk: crystalline LiLaZn at its relaxed geometry (PBE).

Energy relative to the elements, eV/atom: -0.09
Total moment, μB per atom: 0.000
ΔE to the lowest computed polymorph, meV/atom: 82
Space group: I4mm

Unit cell a=5.6745 b=5.6745 c=5.6745 alpha=141.09 beta=141.09 gamma=56.20
Element x y z (fractional)
Li 0.0000 0.0000 0.0000
La 0.6989 0.6989 0.0000
Zn 0.3750 0.3750 0.0000


4.
Entry from Alexandria via LeMat-Bulk: crystalline LiLaZn at its relaxed geometry (PBE).

Energy relative to the elements, eV/atom: -0.17
Total moment, μB per atom: 0.000
ΔE to the lowest computed polymorph, meV/atom: 0
Space group: Ima2

Unit cell a=8.6676 b=8.6676 c=8.6676 alpha=112.27 beta=88.05 gamma=130.93
Element x y z (fractional)
Li 0.0000 0.0000 0.0000
Li 0.0000 0.5000 0.5000
Li 0.2258 0.3386 0.8875
Li 0.2258 0.8383 0.3872
Li 0.4512 0.3383 0.1125
Li 0.4512 0.8386 0.6128
La 0.2255 0.2604 0.4651
La 0.2259 0.7612 0.9647
La 0.6557 0.4057 0.7500
La 0.6557 0.9057 0.2500
La 0.7953 0.7604 0.5349
La 0.7966 0.2612 0.0353
Zn 0.2250 0.9755 0.7495
Zn 0.2260 0.4755 0.2505
Zn 0.5593 0.2255 0.3337
Zn 0.5593 0.7256 0.8338
Zn 0.8919 0.2256 0.6663
Zn 0.8919 0.7255 0.1662


5.
Entry from Alexandria via LeMat-Bulk: crystalline LiLaZn at its relaxed geometry (PBE).

Energy relative to the elements, eV/atom: -0.10
Total moment, μB per atom: 0.000
ΔE to the lowest computed polymorph, meV/atom: 68
Space group: P4/nmm

Unit cell a=3.4765 b=3.4765 c=11.4297 alpha=90.00 beta=90.00 gamma=90.00
Element x y z (fractional)
Li 0.2500 0.2500 0.0725
Li 0.7500 0.7500 0.9275
La 0.2500 0.2500 0.3752
La 0.7500 0.7500 0.6248
Zn 0.2500 0.2500 0.8119
Zn 0.7500 0.7500 0.1881


6.
Entry from Alexandria via LeMat-Bulk: crystalline Li2LaZn2 at its relaxed geometry (PBE).

Energy relative to the elements, eV/atom: -0.18
Total moment, μB per atom: 0.000
ΔE to the lowest computed polymorph, meV/atom: 0
Space group: Imma

Unit cell a=13.2665 b=13.2665 c=13.2665 alpha=164.39 beta=159.84 gamma=25.60
Element x y z (fractional)
Li 0.0444 0.2944 0.7500
Li 0.4487 0.1987 0.2500
Li 0.5513 0.8013 0.7500
Li 0.9556 0.7056 0.2500
La 0.3279 0.5779 0.7500
La 0.6721 0.4221 0.2500
Zn 0.1197 0.8697 0.2500
Zn 0.2248 0.9748 0.2500
Zn 0.7752 0.0252 0.7500
Zn 0.8803 0.1303 0.7500


7.
Entry from Alexandria via LeMat-Bulk: crystalline LiLa2Zn3 at its relaxed geometry (PBE).

Energy relative to the elements, eV/atom: -0.25
Total moment, μB per atom: 0.000
Space group: Fmmm

Unit cell a=9.5700 b=8.9737 c=5.9294 alpha=76.91 beta=65.97 gamma=37.12
Element x y z (fractional)
Li 0.1670 0.1670 0.8330
Li 0.8330 0.8330 0.1670
La 0.2500 0.2500 0.2500
La 0.2527 0.7473 0.7473
La 0.7473 0.2527 0.2527
La 0.7500 0.7500 0.7500
Zn 0.1674 0.6668 0.3332
Zn 0.3332 0.8326 0.1674
Zn 0.3336 0.3336 0.6664
Zn 0.6664 0.6664 0.3336
Zn 0.6668 0.1674 0.8326
Zn 0.8326 0.3332 0.6668


8.
Entry from Alexandria via LeMat-Bulk: crystalline Li2La3Zn7 at its relaxed geometry (PBE).

Energy relative to the elements, eV/atom: -0.27
Total moment, μB per atom: 0.000
Space group: R-3m

Unit cell a=9.4172 b=9.4172 c=9.4172 alpha=34.71 beta=34.71 gamma=34.71
Element x y z (fractional)
Li 0.1678 0.1678 0.1678
Li 0.8322 0.8322 0.8322
La 0.3590 0.3590 0.3590
La 0.5000 0.5000 0.5000
La 0.6410 0.6410 0.6410
Zn 0.0000 0.0000 0.0000
Zn 0.0794 0.0794 0.5832
Zn 0.0794 0.5832 0.0794
Zn 0.4168 0.9206 0.9206
Zn 0.5832 0.0794 0.0794
Zn 0.9206 0.4168 0.9206
Zn 0.9206 0.9206 0.4168


9.
Entry from Alexandria via LeMat-Bulk: crystalline Li6LaZn2 at its relaxed geometry (PBE).

Energy relative to the elements, eV/atom: -0.09
Total moment, μB per atom: 0.014
Space group: P4/mmm

Unit cell a=4.1294 b=4.1294 c=10.9621 alpha=90.00 beta=90.00 gamma=90.00
Element x y z (fractional)
Li 0.0000 0.0000 0.0000
Li 0.0000 0.5000 0.2107
Li 0.0000 0.5000 0.7893
Li 0.5000 0.0000 0.2107
Li 0.5000 0.0000 0.7893
Li 0.5000 0.5000 0.0000
La 0.0000 0.0000 0.5000
Zn 0.5000 0.5000 0.3719
Zn 0.5000 0.5000 0.6281


10.
Entry from Alexandria via LeMat-Bulk: crystalline Li2LaZn2 at its relaxed geometry (PBE).

Energy relative to the elements, eV/atom: -0.17
Total moment, μB per atom: 0.033
ΔE to the lowest computed polymorph, meV/atom: 13
Space group: I4/mmm

Unit cell a=7.1954 b=7.1954 c=7.1954 alpha=147.47 beta=147.47 gamma=46.68
Element x y z (fractional)
Li 0.2500 0.7500 0.5000
Li 0.7500 0.2500 0.5000
La 0.0000 0.0000 0.0000
Zn 0.3914 0.3914 0.0000
Zn 0.6086 0.6086 0.0000


11.
Entry from Alexandria via LeMat-Bulk: crystalline Li2LaZn at its relaxed geometry (PBE).

Energy relative to the elements, eV/atom: -0.04
Total moment, μB per atom: 0.000
Space group: C2/m

Unit cell a=5.6094 b=5.6094 c=5.3982 alpha=108.01 beta=108.01 gamma=35.27
Element x y z (fractional)
Li 0.2128 0.2128 0.1887
Li 0.7872 0.7872 0.8113
La 0.0000 0.0000 0.5000
Zn 0.5000 0.5000 0.0000


12.
Entry from Alexandria via LeMat-Bulk: crystalline Li2LaZn at its relaxed geometry (PBE).

Energy relative to the elements, eV/atom: -0.08
Total moment, μB per atom: 0.000
Space group: P2_1/m

Unit cell a=4.4988 b=7.8352 c=5.7046 alpha=90.00 beta=113.22 gamma=90.00
Element x y z (fractional)
Li 0.1539 0.0585 0.3081
Li 0.1539 0.4415 0.3081
Li 0.8461 0.5585 0.6919
Li 0.8461 0.9415 0.6919
La 0.4360 0.2500 0.8736
La 0.5640 0.7500 0.1264
Zn 0.2727 0.7500 0.5442
Zn 0.7273 0.2500 0.4558


> What is the formula in the twelfth record?

Li2LaZn


> Number 9 is which compound?

Li6LaZn2